# Zn2Si2Ag PBE-GGA optimized geometry
# Magnetization (μB/cell): 0.00
# Calculated total energy (eV per atom): -2.98
# ρ (g/cm3): 5.68
# Raw formation energy (meV per atom): 265
# E above lowest polymorph (meV per atom): 8
data_Zn2Si2Ag
_chemical_formula_sum 'Zn4 Si4 Ag2'
_cell_length_a 4.021
_cell_length_b 4.021
_cell_length_c 10.658
_cell_angle_alpha 90.00
_cell_angle_beta 90.00
_cell_angle_gamma 90.00
_space_group_name_H-M_alt 'I 4/m m m'
_space_group_IT_number 139
_space_group_name_Hall '-I 4 2'
loop_
_atom_site_label
_atom_site_type_symbol
_atom_site_fract_x
_atom_site_fract_y
_atom_site_fract_z
_atom_site_occupancy
Zn1 Zn 0.000 0.500 0.250 1
Si1 Si 0.000 0.000 0.108 1
Ag1 Ag 0.000 0.000 0.500 1